# 1
Density functional theory data (PBE) for an optimized crystal structure of BaTa2Cd.

Results
As for the formation energy from the elements: 0.6916 eV/atom. For the density of states at the Fermi level, the calculation gives 3.51 states/eV/cell. The value obtained for the volume is 109 Å³/f.u. The magnetic moment is 0.0 μB per cell.

a = 5.0317 Å, b = 5.0317 Å, c = 7.4188 Å
α = 95.39°, β = 95.39°, γ = 35.50°
Fractional positions:
Ba 0.0000 0.0000 0.0000
Ta 0.5173 0.5173 0.4396
Ta 0.7807 0.7807 0.3472
Cd 0.2440 0.2440 0.6830



# 2
Density functional theory data (PBE) for an optimized crystal structure of BaTa2Cd.

Results
As for the formation energy from the elements: 0.8969 eV/atom. For the density of states at the Fermi level, the calculation gives 4.16 states/eV/cell. The value obtained for the volume is 94 Å³/f.u. The magnetic moment is 0.0 μB per cell.

a = 3.0147 Å, b = 3.0147 Å, c = 10.3359 Å
α = 90.00°, β = 90.00°, γ = 90.00°
Fractional positions:
Ba 0.0000 0.0000 0.0000
Ta 0.5000 0.5000 0.2926
Ta 0.5000 0.5000 0.7074
Cd 0.0000 0.0000 0.5000



# 3
Density functional theory data (PBE) for an optimized crystal structure of BaTa2Cd.

Results
As for the formation energy from the elements: 1.1524 eV/atom. For the density of states at the Fermi level, the calculation gives 8.28 states/eV/cell. The value obtained for the volume is 130 Å³/f.u. The magnetic moment is 0.0 μB per cell.

a = 11.1113 Å, b = 11.1113 Å, c = 11.1113 Å
α = 154.18°, β = 154.18°, γ = 36.84°
Fractional positions:
Ba 0.0000 0.0000 0.0000
Ba 0.7500 0.2500 0.5000
Ta 0.3400 0.1250 0.7150
Ta 0.3750 0.6600 0.7850
Ta 0.4100 0.6250 0.2850
Ta 0.8750 0.5900 0.2150
Cd 0.2500 0.7500 0.5000
Cd 0.5000 0.5000 0.0000



Listing distance to the lowest polymorph of the same formula for the structures above in their given order: 253 459 714 meV/atom.